Computed, not measured: an optimized crystal structure of Zn2Ag2S at the PBE level of DFT.

## Properties
Uncorrected formation energy (eV/atom): 0.09
Offset from the most stable computed form (eV/atom): 0.000
Calculated total energy (Ry/atom): -0.1755
Magnetic moment (μB/f.u.): 0.0

Cell lengths 6.551, 6.551, 4.149 Å; angles 90.00, 90.00, 90.00 degrees
Fractional coordinates of all 10 atoms:
Zn 0.140 0.360 0.000
Zn 0.360 0.860 0.000
Zn 0.640 0.140 0.000
Zn 0.860 0.640 0.000
Ag 0.152 0.652 0.500
Ag 0.348 0.152 0.500
Ag 0.652 0.848 0.500
Ag 0.848 0.348 0.500
S 0.000 0.000 0.000
S 0.500 0.500 0.000


Computed, not measured: an optimized crystal structure of GaAgH3 at the PBE level of DFT.

## Properties
Offset from the most stable computed form (eV/atom): 0.088
Calculated total energy (Ry/atom): -0.1962
Magnetic moment (μB/f.u.): 0.0

Cell lengths 3.730, 3.730, 3.730 Å; angles 90.00, 90.00, 90.00 degrees
Fractional coordinates of all 5 atoms:
Ga 0.000 0.000 0.000
Ag 0.500 0.500 0.500
H 0.000 0.000 0.500
H 0.000 0.500 0.000
H 0.500 0.000 0.000


Computed, not measured: an optimized crystal structure of ZnReAs at the PBE level of DFT.

## Properties
Offset from the most stable computed form (eV/atom): 0.063
Calculated total energy (Ry/atom): -0.4372
Magnetic moment (μB/f.u.): 0.0
Energy relative to the elements (eV/atom): 0.175

Cell lengths 2.995, 2.995, 6.372 Å; angles 90.00, 90.00, 120.00 degrees
Fractional coordinates of all 3 atoms:
Zn 0.000 0.000 0.000
Re 0.333 0.667 0.670
As 0.667 0.333 0.387


Computed, not measured: an optimized crystal structure of HfSc2Tl2Te6 at the PBE level of DFT.

## Properties
Uncorrected formation energy (eV/atom): -0.90
Calculated total energy (Ry/atom): -0.3746
Magnetic moment (μB/f.u.): 0.0

Cell lengths 7.214, 7.214, 8.633 Å; angles 98.10, 98.10, 120.09 degrees
Fractional coordinates of all 11 atoms:
Hf 0.000 0.000 0.000
Sc 0.331 0.669 0.000
Sc 0.669 0.331 0.000
Tl 0.166 0.834 0.500
Tl 0.834 0.166 0.500
Te 0.072 0.398 0.204
Te 0.263 0.263 0.798
Te 0.398 0.072 0.204
Te 0.602 0.928 0.796
Te 0.737 0.737 0.202
Te 0.928 0.602 0.796


Computed, not measured: an optimized crystal structure of Ac3Pd2Cl at the PBE level of DFT.

## Properties
Uncorrected formation energy (eV/atom): -0.78
Calculated total energy (Ry/atom): -0.3585
Magnetic moment (μB/f.u.): 0.0

Cell lengths 7.952, 7.952, 10.817 Å; angles 90.00, 90.00, 145.90 degrees
Fractional coordinates of all 12 atoms:
Ac 0.124 0.876 0.552
Ac 0.124 0.876 0.948
Ac 0.373 0.627 0.750
Ac 0.627 0.373 0.250
Ac 0.876 0.124 0.052
Ac 0.876 0.124 0.448
Pd 0.018 0.982 0.250
Pd 0.500 0.500 0.000
Pd 0.500 0.500 0.500
Pd 0.982 0.018 0.750
Cl 0.285 0.715 0.250
Cl 0.715 0.285 0.750


Computed, not measured: an optimized crystal structure of HfMgNbMo at the PBE level of DFT.

## Properties
Calculated total energy (Ry/atom): -0.5882
Magnetic moment (μB/f.u.): 0.0
Energy relative to the elements (eV/atom): 0.109

Cell lengths 4.716, 4.716, 4.716 Å; angles 60.00, 60.00, 60.00 degrees
Fractional coordinates of all 4 atoms:
Hf 0.000 0.000 0.000
Mg 0.250 0.250 0.250
Nb 0.500 0.500 0.500
Mo 0.750 0.750 0.750


Computed, not measured: an optimized crystal structure of K2InCuCl6 at the PBE level of DFT.

## Properties
Uncorrected formation energy (eV/atom): -1.29
Calculated total energy (Ry/atom): -0.2427
Magnetic moment (μB/f.u.): 0.0

Cell lengths 7.182, 7.182, 7.182 Å; angles 60.00, 60.00, 60.00 degrees
Fractional coordinates of all 10 atoms:
K 0.250 0.250 0.250
K 0.750 0.750 0.750
In 0.000 0.000 0.000
Cu 0.500 0.500 0.500
Cl 0.253 0.253 0.747
Cl 0.253 0.747 0.253
Cl 0.253 0.747 0.747
Cl 0.747 0.253 0.253
Cl 0.747 0.253 0.747
Cl 0.747 0.747 0.253


Computed, not measured: an optimized crystal structure of FeAs2W at the PBE level of DFT.

## Properties
Offset from the most stable computed form (eV/atom): 0.348
Calculated total energy (Ry/atom): -0.5335
Magnetic moment (μB/f.u.): 0.8
Energy relative to the elements (eV/atom): 0.421

Cell lengths 3.092, 3.515, 5.702 Å; angles 90.00, 92.05, 90.00 degrees
Fractional coordinates of all 4 atoms:
Fe 0.000 0.000 0.000
As 0.018 0.500 0.741
As 0.982 0.500 0.259
W 0.500 0.000 0.500